AgP2Br: relaxed, PBE-GGA.

Results
E above lowest polymorph: 750.5 meV per atom
Total DFT energy (no corrections): -49.0 eV for the cell shown
N(E_F): 10.873 states/eV per cell
V: 301 Å³/cell
Formation energy (no corrections): 0.773 eV/atom
Spin magnetization: 0.000 μB per atom

Cell and atoms, written as CIF:
```
data_AgP2Br
_chemical_formula_sum 'Ag4 P8 Br4'
_space_group_name_H-M_alt 'F -4 3 m'
_space_group_IT_number 216
_space_group_name_Hall 'F -4 2 3'
_cell_length_a 6.705
_cell_length_b 6.705
_cell_length_c 6.705
_cell_angle_alpha 90.00
_cell_angle_beta 90.00
_cell_angle_gamma 90.00
loop_
_atom_site_label
_atom_site_type_symbol
_atom_site_fract_x
_atom_site_fract_y
_atom_site_fract_z
_atom_site_occupancy
Ag1 Ag 0.000 0.000 0.000 1
P1 P 0.000 0.000 0.500 1
P2 P 0.250 0.250 0.750 1
Br1 Br 0.250 0.250 0.250 1
```

=====

Ba2TlBiP: relaxed, PBE-GGA.

Results
DFT formation energy: -674 meV/atom
Total DFT energy (no corrections): -37.7 eV for the cell shown
N(E_F): 4.860 states/eV per cell
V: 396 Å³/cell
Spin magnetization: 0.000 μB per atom

Cell and atoms, written as CIF:
```
data_Ba2TlBiP
_chemical_formula_sum 'Ba4 Tl2 Bi2 P2'
_space_group_name_H-M_alt 'P 1 21/m 1'
_space_group_IT_number 11
_space_group_name_Hall '-P 2yb'
_cell_length_a 8.343
_cell_length_b 4.795
_cell_length_c 10.440
_cell_angle_alpha 90.00
_cell_angle_beta 108.44
_cell_angle_gamma 90.00
loop_
_atom_site_label
_atom_site_type_symbol
_atom_site_fract_x
_atom_site_fract_y
_atom_site_fract_z
_atom_site_occupancy
Ba1 Ba 0.207 0.250 0.389 1
Ba2 Ba 0.207 0.250 0.970 1
Tl1 Tl 0.498 0.750 0.205 1
Bi1 Bi 0.271 0.750 0.682 1
P1 P 0.175 0.750 0.182 1
```

=====

GaNi3Sb: relaxed, PBE-GGA.

Results
E above lowest polymorph: 938.8 meV per atom
Total DFT energy (no corrections): -20.6 eV for the cell shown
N(E_F): 6.990 states/eV per cell
V: 102 Å³/cell
Formation energy (no corrections): 0.786 eV/atom
Spin magnetization: 0.063 μB per atom

Cell and atoms, written as CIF:
```
data_GaNi3Sb
_chemical_formula_sum 'Ga1 Ni3 Sb1'
_space_group_name_H-M_alt 'P m -3 m'
_space_group_IT_number 221
_space_group_name_Hall '-P 4 2 3'
_cell_length_a 4.679
_cell_length_b 4.679
_cell_length_c 4.679
_cell_angle_alpha 90.00
_cell_angle_beta 90.00
_cell_angle_gamma 90.00
loop_
_atom_site_label
_atom_site_type_symbol
_atom_site_fract_x
_atom_site_fract_y
_atom_site_fract_z
_atom_site_occupancy
Ga1 Ga 0.000 0.000 0.000 1
Ni1 Ni 0.000 0.500 0.500 1
Sb1 Sb 0.500 0.500 0.500 1
```

=====

Ca2AlSb: relaxed, PBE-GGA.

Results
E above lowest polymorph: 73.2 meV per atom
Total DFT energy (no corrections): -54.6 eV for the cell shown
N(E_F): 10.243 states/eV per cell
V: 442 Å³/cell
Formation energy (no corrections): -0.445 eV/atom
Spin magnetization: 0.000 μB per atom

Cell and atoms, written as CIF:
```
data_Ca2AlSb
_chemical_formula_sum 'Ca8 Al4 Sb4'
_space_group_name_H-M_alt 'F m -3 m'
_space_group_IT_number 225
_space_group_name_Hall '-F 4 2 3'
_cell_length_a 7.616
_cell_length_b 7.616
_cell_length_c 7.616
_cell_angle_alpha 90.00
_cell_angle_beta 90.00
_cell_angle_gamma 90.00
loop_
_atom_site_label
_atom_site_type_symbol
_atom_site_fract_x
_atom_site_fract_y
_atom_site_fract_z
_atom_site_occupancy
Ca1 Ca 0.250 0.250 0.250 1
Al1 Al 0.000 0.000 0.000 1
Sb1 Sb 0.000 0.000 0.500 1
```

=====

Sc2MnTe: relaxed, PBE-GGA.

Results
Total DFT energy (no corrections): -26.3 eV for the cell shown
N(E_F): 5.164 states/eV per cell
V: 81 Å³/cell
Formation energy (no corrections): -0.324 eV/atom
Spin magnetization: 0.416 μB per atom

Cell and atoms, written as CIF:
```
data_Sc2MnTe
_chemical_formula_sum 'Sc2 Mn1 Te1'
_space_group_name_H-M_alt 'P 4/m m m'
_space_group_IT_number 123
_space_group_name_Hall '-P 4 2'
_cell_length_a 4.651
_cell_length_b 4.651
_cell_length_c 3.754
_cell_angle_alpha 90.00
_cell_angle_beta 90.00
_cell_angle_gamma 90.00
loop_
_atom_site_label
_atom_site_type_symbol
_atom_site_fract_x
_atom_site_fract_y
_atom_site_fract_z
_atom_site_occupancy
Sc1 Sc 0.000 0.500 0.000 1
Mn1 Mn 0.000 0.000 0.500 1
Te1 Te 0.500 0.500 0.500 1
```

=====

LaNbN2: relaxed, PBE-GGA.

Results
Total DFT energy (no corrections): -130.4 eV for the cell shown
N(E_F): 9.124 states/eV per cell
V: 208 Å³/cell
Formation energy (no corrections): -0.237 eV/atom
Spin magnetization: 0.000 μB per atom

Cell and atoms, written as CIF:
```
data_LaNbN2
_chemical_formula_sum 'La4 Nb4 N8'
_space_group_name_H-M_alt 'F m -3 m'
_space_group_IT_number 225
_space_group_name_Hall '-F 4 2 3'
_cell_length_a 5.926
_cell_length_b 5.926
_cell_length_c 5.926
_cell_angle_alpha 90.00
_cell_angle_beta 90.00
_cell_angle_gamma 90.00
loop_
_atom_site_label
_atom_site_type_symbol
_atom_site_fract_x
_atom_site_fract_y
_atom_site_fract_z
_atom_site_occupancy
La1 La 0.000 0.000 0.000 1
Nb1 Nb 0.000 0.000 0.500 1
N1 N 0.250 0.250 0.250 1
```

=====

Which value of N(E_F) does entry 5 give? 5.164 states/eV per cell

=====

The highest total DFT energy (no corrections) belongs to which entry? GaNi3Sb

=====

Among the records above, which one has the lowest total DFT energy (no corrections)? LaNbN2